Record 1
Here is a relaxed Li2TcTe crystal from Alexandria via LeMat-Bulk. Energies are from GGA-PBE.

## Properties
The space group is No. 139. The density of states at the Fermi level comes out at 3.35 states/eV per cell. The uncorrected energy is -4.242 eV per atom. As for the uncorrected formation energy: 92 meV/atom.

Unit cell a=5.2473 b=5.2473 c=5.2473 alpha=136.80 beta=136.80 gamma=62.74
Last column: nearest neighbours and their distance in Å.
Atoms (fractional coordinates):
Li 0.2500 0.7500 0.5000  4 Li 2.73, 4 Tc 2.96, 4 Te 2.96
Li 0.7500 0.2500 0.5000  4 Li 2.73, 4 Tc 2.96, 4 Te 2.96
Tc 0.0000 0.0000 0.0000  4 Te 2.73, 8 Li 2.96
Te 0.5000 0.5000 0.0000  4 Tc 2.73, 8 Li 2.96

=====

Record 2
Here is a relaxed Li2TcTe crystal from Alexandria via LeMat-Bulk. Energies are from GGA-PBE.

## Properties
The space group is No. 123. The density of states at the Fermi level comes out at 2.66 states/eV per cell. The uncorrected energy is -4.061 eV per atom. As for the uncorrected formation energy: 273 meV/atom.

Unit cell a=2.8657 b=2.8657 c=9.1203 alpha=90.00 beta=90.00 gamma=90.00
Last column: nearest neighbours and their distance in Å.
Atoms (fractional coordinates):
Li 0.0000 0.0000 0.2225  4 Li 2.87, 4 Tc 2.87
Li 0.0000 0.0000 0.7775  4 Li 2.87, 4 Tc 2.87
Tc 0.5000 0.5000 0.0000  4 Tc 2.87, 8 Li 2.87
Te 0.5000 0.5000 0.5000  4 Te 2.87

=====

Record 3
Here is a relaxed Li2TcTe crystal from Alexandria via LeMat-Bulk. Energies are from GGA-PBE.

## Properties
The space group is No. 119. The density of states at the Fermi level comes out at 1.63 states/eV per cell. The uncorrected energy is -4.426 eV per atom. As for the uncorrected formation energy: -92 meV/atom.

Unit cell a=4.8502 b=4.8502 c=4.8502 alpha=132.30 beta=132.30 gamma=69.76
Last column: nearest neighbours and their distance in Å.
Atoms (fractional coordinates):
Li 0.0000 0.0000 0.0000  4 Tc 2.77, 4 Li 2.79, 4 Te 2.79
Li 0.7500 0.2500 0.5000  4 Te 2.77, 4 Tc 2.79, 4 Li 2.79
Tc 0.5000 0.5000 0.0000  8 Li 2.77-2.79, 4 Te 2.79
Te 0.2500 0.7500 0.5000  8 Li 2.77-2.79, 4 Tc 2.79

=====

Record 4
Here is a relaxed LiTc2Te crystal from Alexandria via LeMat-Bulk. Energies are from GGA-PBE.

## Properties
The space group is No. 65. The density of states at the Fermi level comes out at 4.36 states/eV per cell. The uncorrected energy is -6.113 eV per atom. As for the uncorrected formation energy: 334 meV/atom.

Unit cell a=3.8108 b=3.8108 c=4.3976 alpha=90.00 beta=90.00 gamma=92.84
Last column: nearest neighbours and their distance in Å.
Atoms (fractional coordinates):
Li 0.0000 0.0000 0.0000  4 Te 2.63-2.76, 8 Tc 2.91
Tc 0.0000 0.5000 0.5000  4 Tc 2.63-2.76, 4 Te 2.91, 4 Li 2.91
Tc 0.5000 0.0000 0.5000  4 Tc 2.63-2.76, 4 Te 2.91, 4 Li 2.91
Te 0.5000 0.5000 0.0000  4 Li 2.63-2.76, 8 Tc 2.91